This record from Alexandria via LeMat-Bulk describes crystalline MgNbMo3 at its relaxed geometry. The functional is PBE.

Cell lengths 4.549, 4.549, 4.549 Å; angles 90.00, 90.00, 90.00 degrees
Atoms (fractional coordinates):
Mg (0.000, 0.000, 0.000)
Mo (0.000, 0.500, 0.000)
Mo (0.000, 0.000, 0.500)
Mo (0.500, 0.000, 0.000)
Nb (0.500, 0.500, 0.500)

Energy of formation from the pure elements: 1972 meV per atom
Space-group type: Pm-3m (221)
Electronic total energy: -6.860 eV/atom